(1)
Below is a relaxed structure of PrY3S6, with properties calculated at the PBEsol level.

The structure in POSCAR format:
```
PrY3S6
1.0
10.939 0.000 0.000
0.000 3.946 0.000
-3.619 0.000 10.651
Pr Y S
2 6 12
direct
0.049 0.250 0.195 Pr
0.951 0.750 0.805 Pr
0.161 0.250 0.586 Y
0.320 0.750 0.998 Y
0.441 0.250 0.332 Y
0.559 0.750 0.668 Y
0.680 0.250 0.002 Y
0.839 0.750 0.414 Y
0.084 0.750 0.405 S
0.119 0.250 0.964 S
0.196 0.750 0.749 S
0.264 0.750 0.227 S
0.394 0.250 0.558 S
0.480 0.250 0.113 S
0.520 0.750 0.887 S
0.606 0.750 0.442 S
0.736 0.250 0.773 S
0.804 0.250 0.251 S
0.881 0.750 0.036 S
0.916 0.250 0.595 S
```

Results
Formation energy without anion corrections   -2146 meV/atom

---

(2)
Below is a relaxed structure of Pr2Sb, with properties calculated at the PBEsol level.

The structure in POSCAR format:
```
Pr2Sb
1.0
-2.265 2.265 8.868
2.265 -2.265 8.868
2.265 2.265 -8.868
Pr Sb
4 2
direct
0.000 0.500 0.500 Pr
0.180 0.180 0.000 Pr
0.500 0.000 0.500 Pr
0.820 0.820 0.000 Pr
0.362 0.362 0.000 Sb
0.638 0.638 0.000 Sb
```

Results
Formation energy without anion corrections   -890 meV/atom

---

(3)
Below is a relaxed structure of PrSbTe, with properties calculated at the PBEsol level.

The structure in POSCAR format:
```
PrSbTe
1.0
4.315 0.000 0.000
0.000 4.315 0.000
0.000 0.000 9.421
Pr Sb Te
2 2 2
direct
0.250 0.250 0.226 Pr
0.750 0.750 0.774 Pr
0.250 0.750 0.500 Sb
0.750 0.250 0.500 Sb
0.250 0.250 0.875 Te
0.750 0.750 0.125 Te
```

Results
Formation energy without anion corrections   -1215 meV/atom

---

(4)
Below is a relaxed structure of Pr3TiSb5, with properties calculated at the PBEsol level.

The structure in POSCAR format:
```
Pr3TiSb5
1.0
9.366 0.000 0.000
-4.683 8.111 0.000
0.000 0.000 6.184
Pr Ti Sb
6 2 10
direct
0.000 0.382 0.250 Pr
0.000 0.618 0.750 Pr
0.382 0.000 0.250 Pr
0.382 0.382 0.750 Pr
0.618 0.000 0.750 Pr
0.618 0.618 0.250 Pr
0.000 0.000 0.000 Ti
0.000 0.000 0.500 Ti
0.000 0.254 0.750 Sb
0.000 0.746 0.250 Sb
0.254 0.000 0.750 Sb
0.254 0.254 0.250 Sb
0.333 0.667 0.000 Sb
0.333 0.667 0.500 Sb
0.667 0.333 0.000 Sb
0.667 0.333 0.500 Sb
0.746 0.000 0.250 Sb
0.746 0.746 0.750 Sb
```

Results
Formation energy without anion corrections   -963 meV/atom

---

(5)
Below is a relaxed structure of PrVSb3, with properties calculated at the PBEsol level.

The structure in POSCAR format:
```
PrVSb3
1.0
13.108 0.000 0.000
0.000 6.250 0.000
0.000 0.000 5.915
Pr V Sb
4 4 12
direct
0.191 0.001 0.250 Pr
0.191 0.499 0.750 Pr
0.809 0.501 0.250 Pr
0.809 0.999 0.750 Pr
0.406 0.750 0.000 V
0.406 0.750 0.500 V
0.594 0.250 0.000 V
0.594 0.250 0.500 V
0.001 0.750 0.000 Sb
0.001 0.750 0.500 Sb
0.283 0.004 0.750 Sb
0.283 0.496 0.250 Sb
0.435 0.104 0.250 Sb
0.435 0.396 0.750 Sb
0.565 0.604 0.250 Sb
0.565 0.896 0.750 Sb
0.717 0.504 0.750 Sb
0.717 0.996 0.250 Sb
0.999 0.250 0.000 Sb
0.999 0.250 0.500 Sb
```

Results
Formation energy without anion corrections   -585 meV/atom

---

(6)
Below is a relaxed structure of Pr3ZrSb5, with properties calculated at the PBEsol level.

The structure in POSCAR format:
```
Pr3ZrSb5
1.0
9.440 0.000 0.000
-4.720 8.175 0.000
0.000 0.000 6.266
Pr Zr Sb
6 2 10
direct
0.000 0.382 0.250 Pr
0.000 0.618 0.750 Pr
0.382 0.000 0.250 Pr
0.382 0.382 0.750 Pr
0.618 0.000 0.750 Pr
0.618 0.618 0.250 Pr
0.000 0.000 0.000 Zr
0.000 0.000 0.500 Zr
0.000 0.264 0.750 Sb
0.000 0.736 0.250 Sb
0.264 0.000 0.750 Sb
0.264 0.264 0.250 Sb
0.333 0.667 0.000 Sb
0.333 0.667 0.500 Sb
0.667 0.333 0.000 Sb
0.667 0.333 0.500 Sb
0.736 0.000 0.250 Sb
0.736 0.736 0.750 Sb
```

Results
Formation energy without anion corrections   -1021 meV/atom

---

(7)
Below is a relaxed structure of Pr3Sc, with properties calculated at the PBEsol level.

The structure in POSCAR format:
```
Pr3Sc
1.0
-2.490 2.490 4.984
2.490 -2.490 4.984
2.490 2.490 -4.984
Pr Sc
3 1
direct
0.000 0.000 0.000 Pr
0.250 0.750 0.500 Pr
0.750 0.250 0.500 Pr
0.500 0.500 0.000 Sc
```

Results
Calculated total energy   -5.51 eV/atom

---

(8)
Below is a relaxed structure of Pr3Sc, with properties calculated at the PBEsol level.

The structure in POSCAR format:
```
Pr3Sc
1.0
7.126 0.000 0.000
-3.563 6.171 0.000
0.000 0.000 5.690
Pr Sc
6 2
direct
0.170 0.340 0.250 Pr
0.170 0.830 0.250 Pr
0.340 0.170 0.750 Pr
0.660 0.830 0.250 Pr
0.830 0.170 0.750 Pr
0.830 0.660 0.750 Pr
0.333 0.667 0.750 Sc
0.667 0.333 0.250 Sc
```

Results
Calculated total energy   -5.49 eV/atom